A geometry-optimized ErAgGeTe2S structure. Source: the Open Quantum Materials Database, functional PBE.

Calculated values
**Mass density**: 6.867 Mg/m³
**Uncorrected energy**: -4.3249 eV per atom

CIF file:
```
data_ErAgGeTe2S
_space_group_name_H-M_alt 'C m c m'
_space_group_IT_number 63
_space_group_name_Hall '-C 2c 2'
_cell_length_a 4.2230
_cell_length_b 14.6058
_cell_length_c 9.9577
_cell_angle_alpha 90.00
_cell_angle_beta 90.00
_cell_angle_gamma 90.00
loop_
_atom_site_label
_atom_site_fract_x
_atom_site_fract_y
_atom_site_fract_z
Er1 0.0000 0.0000 0.0000
Ag1 0.0000 0.4852 0.2500
Ge1 0.0000 0.2344 0.7500
Te1 0.0000 0.3455 0.0536
S1 0.0000 0.0796 0.2500
```



A geometry-optimized ErSc2Ag4Ge4 structure. Source: the Open Quantum Materials Database, functional PBE.

Calculated values
**Mass density**: 7.668 Mg/m³
**Uncorrected energy**: -4.7097 eV per atom

CIF file:
```
data_ErSc2Ag4Ge4
_space_group_name_H-M_alt 'I m m m'
_space_group_IT_number 71
_space_group_name_Hall '-I 2 2'
_cell_length_a 4.1756
_cell_length_b 7.1869
_cell_length_c 14.1318
_cell_angle_alpha 90.00
_cell_angle_beta 90.00
_cell_angle_gamma 90.00
loop_
_atom_site_label
_atom_site_fract_x
_atom_site_fract_y
_atom_site_fract_z
Er1 0.0000 0.0000 0.0000
Sc1 0.0000 0.5000 0.1223
Ag1 0.0000 0.3004 0.3299
Ge1 0.0000 0.0000 0.2206
Ge2 0.0000 0.1791 0.5000
```



A geometry-optimized ErAgGeSe3 structure. Source: the Open Quantum Materials Database, functional PBE.

Calculated values
**Mass density**: 6.886 Mg/m³
**Uncorrected energy**: -4.4914 eV per atom

CIF file:
```
data_ErAgGeSe3
_space_group_name_H-M_alt 'C m c m'
_space_group_IT_number 63
_space_group_name_Hall '-C 2c 2'
_cell_length_a 3.9698
_cell_length_b 13.2566
_cell_length_c 10.7161
_cell_angle_alpha 90.00
_cell_angle_beta 90.00
_cell_angle_gamma 90.00
loop_
_atom_site_label
_atom_site_fract_x
_atom_site_fract_y
_atom_site_fract_z
Er1 0.0000 0.0000 0.0000
Ag1 0.0000 0.4744 0.2500
Ge1 0.0000 0.2317 0.7500
Se1 0.0000 0.1095 0.2500
Se2 0.0000 0.3526 0.0610
```



A geometry-optimized ErAgGeTe2Se structure. Source: the Open Quantum Materials Database, functional PBE.

Calculated values
**Mass density**: 7.232 Mg/m³
**Uncorrected energy**: -4.2078 eV per atom

CIF file:
```
data_ErAgGeTe2Se
_space_group_name_H-M_alt 'C m c m'
_space_group_IT_number 63
_space_group_name_Hall '-C 2c 2'
_cell_length_a 4.2045
_cell_length_b 14.3310
_cell_length_c 10.3951
_cell_angle_alpha 90.00
_cell_angle_beta 90.00
_cell_angle_gamma 90.00
loop_
_atom_site_label
_atom_site_fract_x
_atom_site_fract_y
_atom_site_fract_z
Er1 0.0000 0.0000 0.0000
Ag1 0.0000 0.4825 0.2500
Ge1 0.0000 0.2445 0.7500
Te1 0.0000 0.3461 0.0596
Se1 0.0000 0.0962 0.2500
```



A geometry-optimized Er3SiAg3Ge2 structure. Source: the Open Quantum Materials Database, functional PBE.

Calculated values
**Mass density**: 9.111 Mg/m³
**Uncorrected energy**: -4.7246 eV per atom

CIF file:
```
data_Er3SiAg3Ge2
_space_group_name_H-M_alt 'P -6 2 m'
_space_group_IT_number 189
_space_group_name_Hall 'P -6 -2'
_cell_length_a 7.1090
_cell_length_b 7.1090
_cell_length_c 4.1592
_cell_angle_alpha 90.00
_cell_angle_beta 90.00
_cell_angle_gamma 120.00
loop_
_atom_site_label
_atom_site_fract_x
_atom_site_fract_y
_atom_site_fract_z
Er1 0.0000 0.4157 0.0000
Si1 0.0000 0.0000 0.0000
Ag1 0.0000 0.7540 0.5000
Ge1 0.3333 0.6667 0.5000
```



A geometry-optimized Er3Si2Ag4Ge2 structure. Source: the Open Quantum Materials Database, functional PBE.

Calculated values
**Mass density**: 8.728 Mg/m³
**Uncorrected energy**: -4.5918 eV per atom

CIF file:
```
data_Er3Si2Ag4Ge2
_space_group_name_H-M_alt 'I m m m'
_space_group_IT_number 71
_space_group_name_Hall '-I 2 2'
_cell_length_a 4.2671
_cell_length_b 7.0526
_cell_length_c 14.3470
_cell_angle_alpha 90.00
_cell_angle_beta 90.00
_cell_angle_gamma 90.00
loop_
_atom_site_label
_atom_site_fract_x
_atom_site_fract_y
_atom_site_fract_z
Er1 0.0000 0.0000 0.0000
Er2 0.0000 0.5000 0.1254
Si1 0.0000 0.0000 0.2162
Ag1 0.0000 0.3015 0.3265
Ge1 0.0000 0.1868 0.5000
```



A geometry-optimized Er2TmAg4Ge4 structure. Source: the Open Quantum Materials Database, functional PBE.

Calculated values
**Mass density**: 9.177 Mg/m³
**Uncorrected energy**: -4.4352 eV per atom

CIF file:
```
data_Er2TmAg4Ge4
_space_group_name_H-M_alt 'I m m m'
_space_group_IT_number 71
_space_group_name_Hall '-I 2 2'
_cell_length_a 4.3172
_cell_length_b 7.1071
_cell_length_c 14.4533
_cell_angle_alpha 90.00
_cell_angle_beta 90.00
_cell_angle_gamma 90.00
loop_
_atom_site_label
_atom_site_fract_x
_atom_site_fract_y
_atom_site_fract_z
Er1 0.0000 0.0000 0.1252
Tm1 0.0000 0.5000 0.0000
Ag1 0.0000 0.1990 0.3302
Ge1 0.0000 0.3146 0.5000
Ge2 0.0000 0.5000 0.2162
```



A geometry-optimized Y2ErAg4Ge4 structure. Source: the Open Quantum Materials Database, functional PBE.

Calculated values
**Mass density**: 7.879 Mg/m³
**Uncorrected energy**: -4.8170 eV per atom

CIF file:
```
data_Y2ErAg4Ge4
_space_group_name_H-M_alt 'I m m m'
_space_group_IT_number 71
_space_group_name_Hall '-I 2 2'
_cell_length_a 4.3477
_cell_length_b 7.1249
_cell_length_c 14.5212
_cell_angle_alpha 90.00
_cell_angle_beta 90.00
_cell_angle_gamma 90.00
loop_
_atom_site_label
_atom_site_fract_x
_atom_site_fract_y
_atom_site_fract_z
Y1 0.0000 0.0000 0.1254
Er1 0.0000 0.5000 0.0000
Ag1 0.0000 0.1982 0.3304
Ge1 0.0000 0.3144 0.5000
Ge2 0.0000 0.5000 0.2158
```



A geometry-optimized YErAg2Ge2 structure. Source: the Open Quantum Materials Database, functional PBE.

Calculated values
**Mass density**: 8.050 Mg/m³
**Uncorrected energy**: -4.9286 eV per atom

CIF file:
```
data_YErAg2Ge2
_space_group_name_H-M_alt 'P 3 m 1'
_space_group_IT_number 156
_cell_length_a 4.4993
_cell_length_b 4.4993
_cell_length_c 7.2616
_cell_angle_alpha 90.00
_cell_angle_beta 90.00
_cell_angle_gamma 120.00
loop_
_space_group_symop_operation_xyz
'x,y,z'
'-y,x-y,z'
'-x+y,-x,z'
'-y,-x,z'
'-x+y,y,z'
'x,x-y,z'
loop_
_atom_site_label
_atom_site_fract_x
_atom_site_fract_y
_atom_site_fract_z
Y1 0.0000 0.0000 0.0000
Er1 0.0000 0.0000 0.5008
Ag1 0.3333 0.6667 0.7090
Ag2 0.6667 0.3333 0.2195
Ge1 0.3333 0.6667 0.2976
Ge2 0.6667 0.3333 0.7938
```



A geometry-optimized Er5Ag4Hg structure. Source: the Open Quantum Materials Database, functional PBE.

Calculated values
**Mass density**: 10.359 Mg/m³
**Energy of formation from the pure elements**: -0.3743 eV/atom

CIF file:
```
data_Er5Ag4Hg
_space_group_name_H-M_alt 'P 4/m m m'
_space_group_IT_number 123
_space_group_name_Hall '-P 4 2'
_cell_length_a 3.6033
_cell_length_b 3.6033
_cell_length_c 18.1279
_cell_angle_alpha 90.00
_cell_angle_beta 90.00
_cell_angle_gamma 90.00
loop_
_atom_site_label
_atom_site_fract_x
_atom_site_fract_y
_atom_site_fract_z
Er1 0.0000 0.0000 0.0000
Er2 0.0000 0.0000 0.1991
Er3 0.0000 0.0000 0.3967
Ag1 0.5000 0.5000 0.0993
Ag2 0.5000 0.5000 0.2979
Hg1 0.5000 0.5000 0.5000
```



A geometry-optimized ErAgHg structure. Source: the Open Quantum Materials Database, functional PBE.

Calculated values
**Mass density**: 10.101 Mg/m³
**Energy of formation from the pure elements**: -0.1161 eV/atom

CIF file:
```
data_ErAgHg
_space_group_name_H-M_alt 'F -4 3 m'
_space_group_IT_number 216
_space_group_name_Hall 'F -4 2 3'
_cell_length_a 6.7883
_cell_length_b 6.7883
_cell_length_c 6.7883
_cell_angle_alpha 90.00
_cell_angle_beta 90.00
_cell_angle_gamma 90.00
loop_
_atom_site_label
_atom_site_fract_x
_atom_site_fract_y
_atom_site_fract_z
Er1 0.0000 0.0000 0.0000
Ag1 0.0000 0.0000 0.5000
Hg1 0.2500 0.2500 0.7500
```



A geometry-optimized Er2AgHg structure. Source: the Open Quantum Materials Database, functional PBE.

Calculated values
**Mass density**: 11.039 Mg/m³
**Energy of formation from the pure elements**: -0.4185 eV/atom

CIF file:
```
data_Er2AgHg
_space_group_name_H-M_alt 'P 4/m m m'
_space_group_IT_number 123
_space_group_name_Hall '-P 4 2'
_cell_length_a 5.1515
_cell_length_b 5.1515
_cell_length_c 3.6446
_cell_angle_alpha 90.00
_cell_angle_beta 90.00
_cell_angle_gamma 90.00
loop_
_atom_site_label
_atom_site_fract_x
_atom_site_fract_y
_atom_site_fract_z
Er1 0.0000 0.5000 0.0000
Ag1 0.0000 0.0000 0.5000
Hg1 0.5000 0.5000 0.5000
```



> Number 6 is which compound?

Er3Si2Ag4Ge2